[1]
Below is a geometry-optimized Sr12LiAg6 structure, with properties calculated at the GGA-PBE level.

abc: 9.8994 9.8994 9.8994
angles: 109.47 109.47 109.47
Element x y z (fractional)
Sr 0.1176 0.8165 0.3011
Sr 0.1835 0.3011 0.4846
Sr 0.1835 0.6989 0.8824
Sr 0.3011 0.1176 0.8165
Sr 0.3011 0.4846 0.1835
Sr 0.4846 0.1835 0.3011
Sr 0.5154 0.8165 0.6989
Sr 0.6989 0.5154 0.8165
Sr 0.6989 0.8824 0.1835
Sr 0.8165 0.3011 0.1176
Sr 0.8165 0.6989 0.5154
Sr 0.8824 0.1835 0.6989
Li 0.0000 0.0000 0.0000
Ag 0.1228 0.6228 0.5000
Ag 0.3772 0.5000 0.8772
Ag 0.5000 0.1228 0.6228
Ag 0.5000 0.8772 0.3772
Ag 0.6228 0.5000 0.1228
Ag 0.8772 0.3772 0.5000

Values from the calculation:
For the total energy, the calculation gives -42.62 eV per cell. For the calculated formation energy, the calculation gives -0.18 eV per atom. As for the crystal system: cubic. The value obtained for the size of the total moment is 0.00 μB per cell.

[2]
Below is a geometry-optimized Dy2Fe5Si4 structure, with properties calculated at the GGA-PBE level.

abc: 7.9713 7.0237 5.3678
angles: 78.83 59.82 41.35
Element x y z (fractional)
Dy 0.1336 0.1336 0.8664
Dy 0.8664 0.8664 0.1336
Fe 0.0000 0.0000 0.5000
Fe 0.2500 0.2500 0.2500
Fe 0.5000 0.5000 0.0000
Fe 0.5000 0.5000 0.5000
Fe 0.7500 0.7500 0.7500
Si 0.2176 0.5118 0.4882
Si 0.4882 0.7824 0.2176
Si 0.5118 0.2176 0.7824
Si 0.7824 0.4882 0.5118

Values from the calculation:
For the total energy, the calculation gives -79.07 eV per cell. As for the crystal system: orthorhombic. The value obtained for the size of the total moment is 2.51 μB per cell. The uncorrected formation energy comes out at -5.86 eV/f.u.

[3]
Below is a geometry-optimized SrAc2Zr structure, with properties calculated at the GGA-PBE level.

abc: 13.5688 13.5688 13.5688
angles: 15.56 15.56 15.56
Element x y z (fractional)
Sr 0.0000 0.0000 0.0000
Ac 0.4204 0.4204 0.4204
Ac 0.5796 0.5796 0.5796
Zr 0.5000 0.5000 0.5000

Values from the calculation:
For the total energy, the calculation gives -16.28 eV per cell. For the calculated formation energy, the calculation gives 0.54 eV per atom. As for the crystal system: trigonal. The value obtained for the size of the total moment is 0.00 μB per cell.

[4]
Below is a geometry-optimized UTiHg structure, with properties calculated at the GGA-PBE level.

abc: 7.2957 7.2957 7.2957
angles: 156.63 156.63 33.29
Element x y z (fractional)
U 0.0000 0.0000 0.0000
Ti 0.3408 0.3408 0.0000
Hg 0.6864 0.6864 0.0000

Values from the calculation:
For the total energy, the calculation gives -19.16 eV per cell. For the energy above the most stable polymorph in this dataset, the calculation gives 0 meV/atom. For the calculated formation energy, the calculation gives 0.11 eV per atom. As for the crystal system: tetragonal. The value obtained for the size of the total moment is 1.17 μB per cell.

[5]
Below is a geometry-optimized PrPaCo structure, with properties calculated at the GGA-PBE level.

abc: 6.2751 6.2751 6.2751
angles: 147.95 147.95 45.96
Element x y z (fractional)
Pr 0.0000 0.0000 0.0000
Pa 0.2897 0.2897 0.0000
Co 0.7105 0.7105 0.0000

Values from the calculation:
For the total energy, the calculation gives -21.73 eV per cell. For the energy above the most stable polymorph in this dataset, the calculation gives 63 meV/atom. For the calculated formation energy, the calculation gives -0.11 eV per atom. As for the crystal system: tetragonal. The value obtained for the size of the total moment is 0.00 μB per cell.

[6]
Below is a geometry-optimized PmHo6Tm8 structure, with properties calculated at the GGA-PBE level.

abc: 9.3379 9.3379 6.4066
angles: 90.00 90.00 120.00
Element x y z (fractional)
Pm 0.0000 0.0000 0.0000
Ho 0.0999 0.4182 0.9119
Ho 0.3183 0.9001 0.9119
Ho 0.4182 0.3183 0.0881
Ho 0.5818 0.6817 0.9119
Ho 0.6817 0.0999 0.0881
Ho 0.9001 0.5818 0.0881
Tm 0.0247 0.6859 0.5921
Tm 0.3141 0.3388 0.5921
Tm 0.3333 0.6667 0.3384
Tm 0.3388 0.0247 0.4079
Tm 0.6612 0.9753 0.5921
Tm 0.6667 0.3333 0.6616
Tm 0.6859 0.6612 0.4079
Tm 0.9753 0.3141 0.4079

Values from the calculation:
For the total energy, the calculation gives -64.45 eV per cell. For the calculated formation energy, the calculation gives 0.24 eV per atom. As for the crystal system: trigonal. The value obtained for the size of the total moment is 0.00 μB per cell.

[7]
Below is a geometry-optimized Zr2TeP structure, with properties calculated at the GGA-PBE level.

abc: 8.7516 8.7516 8.7516
angles: 24.63 24.63 24.63
Element x y z (fractional)
Zr 0.0000 0.0000 0.0000
Zr 0.2382 0.2382 0.2382
Te 0.7405 0.7405 0.7405
P 0.5193 0.5193 0.5193

Values from the calculation:
For the total energy, the calculation gives -26.92 eV per cell. For the energy above the most stable polymorph in this dataset, the calculation gives 833 meV/atom. As for the crystal system: trigonal. The value obtained for the size of the total moment is 0.00 μB per cell. The uncorrected formation energy comes out at -1.27 eV/f.u.

[8]
Below is a geometry-optimized SrCrAsSe2 structure, with properties calculated at the GGA-PBE level.

abc: 5.7134 5.7134 5.6973
angles: 90.00 90.00 90.00
Element x y z (fractional)
Sr 0.0000 0.0000 0.0000
Cr 0.5000 0.5000 0.5000
As 0.0000 0.0000 0.5000
Se 0.0000 0.5000 0.0000
Se 0.5000 0.0000 0.0000

Values from the calculation:
For the total energy, the calculation gives -19.32 eV per cell. For the energy above the most stable polymorph in this dataset, the calculation gives 1345 meV/atom. As for the crystal system: tetragonal. The value obtained for the size of the total moment is 2.61 μB per cell. The uncorrected formation energy comes out at 3.60 eV/f.u.

[9]
Below is a geometry-optimized UAl2C2 structure, with properties calculated at the GGA-PBE level.

abc: 7.7186 7.7186 7.7186
angles: 24.11 24.11 24.11
Element x y z (fractional)
U 0.0000 0.0000 0.0000
Al 0.2213 0.2213 0.2213
Al 0.7787 0.7787 0.7787
C 0.4047 0.4047 0.4047
C 0.5953 0.5953 0.5953

Values from the calculation:
For the total energy, the calculation gives -37.43 eV per cell. For the calculated formation energy, the calculation gives -0.04 eV per atom. As for the crystal system: trigonal. The value obtained for the size of the total moment is 0.60 μB per cell.

[10]
Below is a geometry-optimized GdHoGaOs structure, with properties calculated at the GGA-PBE level.

abc: 4.9370 4.9370 4.9370
angles: 60.00 60.00 60.00
Element x y z (fractional)
Gd 0.0000 0.0000 0.0000
Ho 0.5000 0.5000 0.5000
Ga 0.2500 0.2500 0.2500
Os 0.7500 0.7500 0.7500

Values from the calculation:
For the total energy, the calculation gives -34.28 eV per cell. For the calculated formation energy, the calculation gives -0.34 eV per atom. As for the crystal system: cubic. The value obtained for the size of the total moment is 7.00 μB per cell.

[11]
Below is a geometry-optimized FeOs2Se structure, with properties calculated at the GGA-PBE level.

abc: 2.8315 3.6240 5.7439
angles: 90.00 90.00 90.00
Element x y z (fractional)
Fe 0.0000 0.0000 0.0000
Os 0.0000 0.0000 0.4615
Os 0.5000 0.5000 0.2498
Se 0.5000 0.5000 0.8128

Values from the calculation:
For the total energy, the calculation gives -32.36 eV per cell. As for the crystal system: orthorhombic. The value obtained for the size of the total moment is 1.44 μB per cell. The uncorrected formation energy comes out at 2.05 eV/f.u.

[12]
Below is a geometry-optimized VIrI2N structure, with properties calculated at the GGA-PBE level.

abc: 5.3744 5.3744 3.5746
angles: 90.00 90.00 90.00
Element x y z (fractional)
V 0.0000 0.0000 0.0000
Ir 0.5000 0.5000 0.5000
I 0.0000 0.5000 0.0000
I 0.5000 0.0000 0.0000
N 0.0000 0.0000 0.5000

Values from the calculation:
For the total energy, the calculation gives -25.38 eV per cell. For the energy above the most stable polymorph in this dataset, the calculation gives 0 meV/atom. As for the crystal system: tetragonal. The value obtained for the size of the total moment is 1.09 μB per cell. The uncorrected formation energy comes out at 4.03 eV/f.u.